## Pm2Sm3Tm7 (PBE)

Data for a geometry-optimized Pm2Sm3Tm7 structure.

Computed properties:
- electronic total energy (eV per atom) = -4.49
- crystal system = monoclinic
- E_form (eV per atom) = 0.09
- symmetry = No. 10

a b c (Å): 6.3108 3.5112 17.4205
angles (deg): 90.00 96.28 90.00
Fractional coordinates of all 12 atoms:
Pm  0.0566  0.0000  0.1747
Pm  0.9434  0.0000  0.8253
Sm  0.4534  0.5000  0.8416
Sm  0.5000  0.0000  0.5000
Sm  0.5466  0.5000  0.1584
Tm  0.0000  0.5000  0.5000
Tm  0.2256  0.0000  0.6646
Tm  0.2543  0.0000  0.0000
Tm  0.2729  0.5000  0.3369
Tm  0.7271  0.5000  0.6631
Tm  0.7457  0.0000  0.0000
Tm  0.7744  0.0000  0.3354